VASP calculation (GGA-PBE) on TaNbRe2Sn after structural relaxation.

Values from the calculation:
As for the space group: P4/mmm (123). For the total energy, the calculation gives -8.17 eV/atom.

The structure in extended XYZ format:
```
5
Lattice="-0.318 -1.123 -4.600 1.096 -4.823 1.102 -4.623 -0.926 0.545" Properties=species:S:1:pos:R:3 pbc="T T T"
Nb -1.923 -3.436 -1.477
Sn 0.548 -2.411 0.551
Re -0.159 -0.561 -2.300
Re -2.311 -0.463 0.273
Ta 0.000 0.000 0.000
```